12
Lattice="7.405 2.975 0.000 4.139 6.823 0.000 0.000 0.000 10.115" Properties=species:S:1:pos:R:3 comment="PmDyHo | the Alexandria database | GGA-PBE | relaxed" e_above_lowest_polymorph_mev_per_atom=0 e_form_ev_per_fu=0.06 pbc="T T T"
Pm 5.701 4.012 1.271
Pm 3.773 2.375 8.844
Pm 4.067 5.936 3.787
Pm 9.545 7.275 6.328
Dy 4.079 5.945 8.851
Dy 9.534 7.265 1.264
Dy 5.712 4.021 6.321
Dy 3.762 2.366 3.793
Ho 1.861 0.753 1.266
Ho 7.613 5.634 8.848
Ho 7.633 5.652 3.791
Ho 5.980 7.558 6.324